[1]
{
  "formula": "Co2TeCS",
  "functional": "PBE",
  "state": "optimized geometry",
  "magnetic_moment_mub_per_cell": 0.01,
  "e_tot_ev_per_atom": -5.940,
  "cell": [[3.148, 0.000, 0.000], [-1.574, 2.726, 0.000], [0.000, 0.000, 8.628]],
  "species": ["Co", "Co", "Te", "C", "S"],
  "fractional_positions": [[0.000, 0.000, 0.000], [0.333, 0.667, 0.200], [0.000, 0.000, 0.432], [0.667, 0.333, 0.110], [0.333, 0.667, 0.840]]
}

[2]
{
  "formula": "Nd5Si3B",
  "functional": "PBE",
  "state": "optimized geometry",
  "magnetic_moment_mub_per_cell": 0.01,
  "e_tot_ev_per_atom": -5.595,
  "cell": [[8.914, 0.000, 0.000], [-4.457, 7.720, 0.000], [0.000, 0.000, 6.601]],
  "species": ["Nd", "Nd", "Nd", "Nd", "Nd", "Nd", "Nd", "Nd", "Nd", "Nd", "Si", "Si", "Si", "Si", "Si", "Si", "B", "B"],
  "fractional_positions": [[0.000, 0.242, 0.250], [0.000, 0.758, 0.750], [0.242, 0.000, 0.250], [0.242, 0.242, 0.750], [0.333, 0.667, 0.000], [0.333, 0.667, 0.500], [0.667, 0.333, 0.000], [0.667, 0.333, 0.500], [0.758, 0.000, 0.750], [0.758, 0.758, 0.250], [0.000, 0.397, 0.750], [0.000, 0.603, 0.250], [0.397, 0.000, 0.750], [0.397, 0.397, 0.250], [0.603, 0.000, 0.250], [0.603, 0.603, 0.750], [0.000, 0.000, 0.000], [0.000, 0.000, 0.500]]
}

[3]
{
  "formula": "ZrTeNO",
  "functional": "PBE",
  "state": "optimized geometry",
  "magnetic_moment_mub_per_cell": 0.00,
  "relative_energy_mev_per_atom": 581,
  "cell": [[4.291, 0.000, 0.000], [0.000, 4.291, 0.000], [0.000, 0.000, 7.956]],
  "species": ["Zr", "Zr", "Te", "Te", "N", "N", "O", "O"],
  "fractional_positions": [[0.250, 0.250, 0.059], [0.750, 0.750, 0.941], [0.250, 0.750, 0.500], [0.750, 0.250, 0.500], [0.250, 0.250, 0.296], [0.750, 0.750, 0.704], [0.250, 0.750, 0.000], [0.750, 0.250, 0.000]]
}

[4]
{
  "formula": "HfZrAl2Co4",
  "functional": "PBE",
  "state": "optimized geometry",
  "magnetic_moment_mub_per_cell": 0.03,
  "e_tot_ev_per_atom": -7.226,
  "cell": [[4.056, 0.000, 0.000], [-2.028, 3.512, 0.000], [0.000, 0.000, 8.009]],
  "species": ["Hf", "Zr", "Al", "Al", "Co", "Co", "Co", "Co"],
  "fractional_positions": [[0.000, 0.000, 0.000], [0.667, 0.333, 0.500], [0.333, 0.667, 0.249], [0.333, 0.667, 0.751], [0.000, 0.000, 0.342], [0.000, 0.000, 0.658], [0.667, 0.333, 0.152], [0.667, 0.333, 0.848]]
}

[5]
{
  "formula": "InGaTc",
  "functional": "PBE",
  "state": "optimized geometry",
  "magnetic_moment_mub_per_cell": 0.24,
  "relative_energy_mev_per_atom": 0,
  "cell": [[0.000, 3.109, 3.109], [3.109, 0.000, 3.109], [3.109, 3.109, 0.000]],
  "species": ["In", "Ga", "Tc"],
  "fractional_positions": [[0.000, 0.000, 0.000], [0.500, 0.500, 0.500], [0.750, 0.750, 0.750]]
}

[6]
{
  "formula": "GdBeAsO",
  "functional": "PBE",
  "state": "optimized geometry",
  "magnetic_moment_mub_per_cell": 0.00,
  "relative_energy_mev_per_atom": 0,
  "cell": [[3.837, 0.000, 0.000], [0.000, 3.837, 0.000], [0.000, 0.000, 8.633]],
  "species": ["Gd", "Gd", "Be", "Be", "As", "As", "O", "O"],
  "fractional_positions": [[0.250, 0.250, 0.136], [0.750, 0.750, 0.864], [0.250, 0.750, 0.500], [0.750, 0.250, 0.500], [0.250, 0.250, 0.655], [0.750, 0.750, 0.345], [0.250, 0.750, 0.000], [0.750, 0.250, 0.000]]
}

[7]
{
  "formula": "Dy2Ho2Al3",
  "functional": "PBE",
  "state": "optimized geometry",
  "magnetic_moment_mub_per_cell": 0.01,
  "e_tot_ev_per_atom": -4.414,
  "cell": [[6.001, -2.482, 0.000], [6.001, 2.482, 0.000], [-2.607, 0.000, 6.041]],
  "species": ["Dy", "Dy", "Ho", "Ho", "Al", "Al", "Al"],
  "fractional_positions": [[0.044, 0.044, 0.281], [0.956, 0.956, 0.719], [0.320, 0.320, 0.205], [0.680, 0.680, 0.795], [0.284, 0.284, 0.668], [0.500, 0.500, 0.000], [0.716, 0.716, 0.332]]
}

[8]
{
  "formula": "RbYHf",
  "functional": "PBE",
  "state": "optimized geometry",
  "magnetic_moment_mub_per_cell": 0.02,
  "relative_energy_mev_per_atom": 264,
  "cell": [[0.000, 3.737, 3.737], [3.737, 0.000, 3.737], [3.737, 3.737, 0.000]],
  "species": ["Rb", "Y", "Hf"],
  "fractional_positions": [[0.000, 0.000, 0.000], [0.250, 0.250, 0.250], [0.750, 0.750, 0.750]]
}

Q: Which formula does entry 4 have?
A: HfZrAl2Co4

Q: What is the formula in the fifth record?
A: InGaTc